Compound: MnTlOs2O8
Source: Alexandria via LeMat-Bulk
Functional: PBE+U
Structure: relaxed

## Properties
VASP energy: -6.990 eV per atom

Cell lengths 5.777, 5.777, 7.757 Å; angles 90.00, 90.00, 120.00 degrees
Atoms (fractional coordinates):
Mn 0.000 0.000 0.000
Tl 0.000 0.000 0.500
Os 0.333 0.667 0.239
Os 0.667 0.333 0.761
O 0.101 0.332 0.171
O 0.231 0.899 0.171
O 0.332 0.231 0.829
O 0.333 0.667 0.467
O 0.667 0.333 0.533
O 0.668 0.769 0.171
O 0.769 0.101 0.829
O 0.899 0.668 0.829